# 1
A plane-wave DFT calculation with GGA-PBE was carried out for a relaxed structure of AcSm2Tm4.

The structure in POSCAR format:
```
AcSm2Tm4
1.0
6.5663 1.3930 -1.4030
-3.1514 7.8648 -3.7374
0.8248 -0.8979 8.7252
Ac Sm Tm
2 4 8
Cartesian
-0.0608 4.5313 1.5312
4.1244 8.1347 2.6957
3.0475 5.4974 0.4885
0.8473 0.5905 4.8072
4.6840 4.1795 -2.5286
1.2107 6.7876 4.1086
4.2612 0.5726 4.1952
2.6278 3.6346 4.0923
1.6869 1.1397 1.7570
4.7515 2.5567 1.0318
-0.8790 3.6500 4.7306
3.3268 7.3669 -2.5471
0.2728 5.8966 -1.7183
1.7936 2.8120 -1.3294
```

Calculated values
ΔE to the lowest computed polymorph (meV per atom): 57
Size of the total moment (μB per formula unit): 0.0
DFT total energy (eV per cell): -61.55
Calculated formation energy (kJ/mol of formula units): 63

# 2
A plane-wave DFT calculation with GGA-PBE was carried out for a relaxed structure of TlZnGa.

The structure in POSCAR format:
```
TlZnGa
1.0
-0.1934 -3.5338 5.9926
-3.2517 -2.8921 -2.2628
4.9653 -0.8793 -0.3564
Zn Tl Ga
2 2 2
Cartesian
1.3427 -3.9313 -0.2079
-1.1171 -3.4978 -0.0272
2.7843 -4.3276 2.7787
0.4932 -3.7504 5.2389
3.0187 -1.9186 0.1008
0.4543 -2.6191 1.9303
```

Calculated values
Size of the total moment (μB per formula unit): 0.0
DFT total energy (eV per cell): -12.82
Calculated formation energy (kJ/mol of formula units): 25

# 3
A plane-wave DFT calculation with GGA-PBE was carried out for a relaxed structure of BaZn2GaIr.

The structure in POSCAR format:
```
BaZn2GaIr
1.0
-0.8495 -4.3947 -2.1450
3.8534 0.7388 -3.0399
2.9179 -2.1181 3.1839
Zn Ir Ba Ga
2 1 1 1
Cartesian
1.9267 0.3694 -1.5200
-0.4248 -2.1974 -1.0725
0.0000 0.0000 0.0000
2.9609 -2.8870 -1.0005
1.4589 -1.0590 1.5920
```

Calculated values
Size of the total moment (μB per formula unit): 0.0
DFT total energy (eV per cell): -18.54
Calculated formation energy (kJ/mol of formula units): -211

# 4
A plane-wave DFT calculation with GGA-PBE was carried out for a relaxed structure of TaSnO2F.

The structure in POSCAR format:
```
TaSnO2F
1.0
-2.8530 -3.0411 0.6514
1.6213 -0.7000 3.8333
-2.6382 2.8245 1.6316
F Sn O Ta
1 1 2 1
Cartesian
-1.3191 1.4122 0.8158
0.0000 0.0000 0.0000
0.8107 -0.3500 1.9166
-1.4265 -1.5206 0.3257
-1.9349 -0.4583 3.0581
```

Calculated values
Uncorrected formation energy (eV per atom): -0.2771
Size of the total moment (μB per formula unit): 3.4
DFT total energy (eV per cell): -29.03